# 1
Below is Ce5Th5Ge6 after structural relaxation, with properties calculated at the PBE-GGA level.

Results
Final energy ... -6.51 eV per atom
Density of states at the Fermi level ... 1.72 states/eV/atom
Formation energy from the elements ... -0.606 eV/atom
Total magnetic moment ... 4.0 μB/f.u.

a b c (Å): 6.081 8.952 8.952
angles (deg): 119.62 90.00 90.00
Fractional coordinates of all 16 atoms:
1 Ce 0.752 0.333 0.666
2 Ce 0.752 0.666 0.333
3 Ce 0.248 0.666 0.333
4 Ce 0.248 0.333 0.666
5 Ce 0.000 0.264 0.264
6 Th 0.000 0.743 0.000
7 Th 0.000 0.000 0.743
8 Th 0.500 0.742 0.742
9 Th 0.500 0.255 0.000
10 Th 0.500 0.000 0.255
11 Ge 0.000 0.616 0.616
12 Ge 0.000 0.383 0.001
13 Ge 0.000 0.001 0.383
14 Ge 0.500 0.385 0.385
15 Ge 0.500 0.613 0.000
16 Ge 0.500 0.000 0.613

---

# 2
Below is Ce2Th2Ge3 after structural relaxation, with properties calculated at the PBE-GGA level.

Results
Final energy ... -6.29 eV per atom
Density of states at the Fermi level ... 2.01 states/eV/atom
Formation energy from the elements ... -0.499 eV/atom
Total magnetic moment ... 1.9 μB/f.u.

a b c (Å): 4.250 7.258 7.269
angles (deg): 99.40 107.00 90.00
Fractional coordinates of all 7 atoms:
1 Ce 0.878 0.623 0.755
2 Ce 0.122 0.377 0.245
3 Th 0.626 0.874 0.253
4 Th 0.374 0.126 0.747
5 Ge 0.000 0.000 0.000
6 Ge 0.745 0.257 0.490
7 Ge 0.255 0.743 0.510

---

# 3
Below is Ce5ThGe3 after structural relaxation, with properties calculated at the PBE-GGA level.

Results
Final energy ... -5.94 eV per atom
Density of states at the Fermi level ... 2.12 states/eV/atom
Formation energy from the elements ... -0.283 eV/atom
Total magnetic moment ... 0.0 μB/f.u.

a b c (Å): 7.280 7.280 10.227
angles (deg): 110.85 110.85 90.00
Fractional coordinates of all 18 atoms:
1 Ce 0.071 0.571 0.749
2 Ce 0.678 0.178 0.749
3 Ce 0.178 0.071 0.749
4 Ce 0.571 0.678 0.749
5 Ce 0.929 0.429 0.251
6 Ce 0.322 0.822 0.251
7 Ce 0.822 0.929 0.251
8 Ce 0.429 0.322 0.251
9 Ce 0.500 0.500 0.000
10 Ce 0.000 0.000 0.000
11 Th 0.750 0.250 0.500
12 Th 0.250 0.750 0.500
13 Ge 0.618 0.118 0.000
14 Ge 0.382 0.882 0.000
15 Ge 0.882 0.618 0.000
16 Ge 0.118 0.382 0.000
17 Ge 0.250 0.250 0.500
18 Ge 0.750 0.750 0.500